(1)
Density functional theory data (GGA-PBE) for an optimized crystal structure of Ag2MoAs.

Cell: 3.812 3.812 4.717 Å, 90.00 90.00 90.00°
Fractional coordinates of all 4 atoms:
Ag (0.000, 0.500, 0.000)
Ag (0.500, 0.000, 0.000)
Mo (0.000, 0.000, 0.500)
As (0.500, 0.500, 0.500)

crystal system: tetragonal

---

(2)
Density functional theory data (GGA-PBE) for an optimized crystal structure of Ag2MoAs.

Cell: 3.237 3.237 6.619 Å, 90.00 90.00 90.00°
Fractional coordinates of all 4 atoms:
Ag (0.000, 0.000, 0.000)
Ag (0.500, 0.500, 0.256)
Mo (0.500, 0.500, 0.723)
As (0.000, 0.000, 0.544)

crystal system: tetragonal

---

(3)
Density functional theory data (GGA-PBE) for an optimized crystal structure of Ag2MoAs.

Cell: 5.948 5.948 5.948 Å, 100.81 100.81 128.68°
Fractional coordinates of all 8 atoms:
Ag (0.102, 0.625, 0.977)
Ag (0.375, 0.352, 0.477)
Ag (0.648, 0.125, 0.023)
Ag (0.875, 0.898, 0.523)
Mo (0.250, 0.750, 0.500)
Mo (0.500, 0.500, 0.000)
As (0.000, 0.000, 0.000)
As (0.750, 0.250, 0.500)

crystal system: tetragonal

---

(4)
Density functional theory data (GGA-PBE) for an optimized crystal structure of Ag2Mo2As.

Cell: 7.537 7.537 7.537 Å, 152.37 152.37 39.48°
Fractional coordinates of all 5 atoms:
Ag (0.250, 0.750, 0.500)
Ag (0.750, 0.250, 0.500)
Mo (0.083, 0.083, 0.000)
Mo (0.917, 0.917, 0.000)
As (0.500, 0.500, 0.000)

offset from the most stable computed form: 329.4 meV/atom
crystal system: tetragonal

---

(5)
Density functional theory data (GGA-PBE) for an optimized crystal structure of Ag2MoAs.

Cell: 5.578 5.578 5.578 Å, 140.49 140.49 57.10°
Fractional coordinates of all 4 atoms:
Ag (0.250, 0.750, 0.500)
Ag (0.750, 0.250, 0.500)
Mo (0.000, 0.000, 0.000)
As (0.500, 0.500, 0.000)

crystal system: tetragonal

---

(6)
Density functional theory data (GGA-PBE) for an optimized crystal structure of Ag2MoAs.

Cell: 9.673 9.673 9.673 Å, 17.31 17.31 17.31°
Fractional coordinates of all 4 atoms:
Ag (0.250, 0.250, 0.250)
Ag (0.750, 0.750, 0.750)
Mo (0.000, 0.000, 0.000)
As (0.500, 0.500, 0.500)

crystal system: trigonal

---

(7)
Density functional theory data (GGA-PBE) for an optimized crystal structure of AgMoAs.

Cell: 5.570 5.570 5.570 Å, 146.73 146.73 47.77°
Fractional coordinates of all 3 atoms:
Ag (0.000, 0.000, 0.000)
Mo (0.693, 0.693, 0.000)
As (0.312, 0.312, 0.000)

offset from the most stable computed form: 9.0 meV/atom
crystal system: tetragonal

---

(8)
Density functional theory data (GGA-PBE) for an optimized crystal structure of Ag2MoAs.

Cell: 5.456 5.456 5.456 Å, 144.79 129.74 62.84°
Fractional coordinates of all 4 atoms:
Ag (0.000, 0.000, 0.000)
Ag (0.725, 0.225, 0.500)
Mo (0.454, 0.454, 0.000)
As (0.254, 0.754, 0.500)

crystal system: orthorhombic

---

(9)
Density functional theory data (GGA-PBE) for an optimized crystal structure of Ag2MoAs.

Cell: 2.834 2.834 9.457 Å, 90.00 90.00 107.38°
Fractional coordinates of all 4 atoms:
Ag (0.000, 0.000, 0.000)
Ag (0.500, 0.500, 0.247)
Mo (0.500, 0.500, 0.751)
As (0.000, 0.000, 0.546)

crystal system: orthorhombic

---

(10)
Density functional theory data (GGA-PBE) for an optimized crystal structure of AgMo3As.

Cell: 4.807 4.807 4.807 Å, 90.00 90.00 90.00°
Fractional coordinates of all 5 atoms:
Ag (0.000, 0.000, 0.000)
Mo (0.000, 0.000, 0.500)
Mo (0.000, 0.500, 0.000)
Mo (0.500, 0.000, 0.000)
As (0.500, 0.500, 0.500)

offset from the most stable computed form: 1183.3 meV/atom
crystal system: cubic

---

(11)
Density functional theory data (GGA-PBE) for an optimized crystal structure of AgMo3As.

Cell: 4.621 4.621 4.621 Å, 90.00 90.00 90.00°
Fractional coordinates of all 5 atoms:
Ag (0.000, 0.000, 0.000)
Mo (0.000, 0.500, 0.500)
Mo (0.500, 0.000, 0.500)
Mo (0.500, 0.500, 0.000)
As (0.500, 0.500, 0.500)

offset from the most stable computed form: 0.0 meV/atom
crystal system: cubic

---

(12)
Density functional theory data (GGA-PBE) for an optimized crystal structure of Ag2MoAs.

Cell: 9.202 9.202 9.202 Å, 18.85 18.85 18.85°
Fractional coordinates of all 4 atoms:
Ag (0.000, 0.000, 0.000)
Ag (0.246, 0.246, 0.246)
Mo (0.493, 0.493, 0.493)
As (0.758, 0.758, 0.758)

crystal system: trigonal

---

(13)
Density functional theory data (GGA-PBE) for an optimized crystal structure of Ag3MoAs.

Cell: 5.071 5.071 5.071 Å, 90.00 90.00 90.00°
Fractional coordinates of all 5 atoms:
Ag (0.000, 0.000, 0.500)
Ag (0.000, 0.500, 0.000)
Ag (0.500, 0.000, 0.000)
Mo (0.000, 0.000, 0.000)
As (0.500, 0.500, 0.500)

offset from the most stable computed form: 672.8 meV/atom
crystal system: cubic

---

(14)
Density functional theory data (GGA-PBE) for an optimized crystal structure of AgMoAs.

Cell: 4.262 4.262 4.262 Å, 60.00 60.00 60.00°
Fractional coordinates of all 3 atoms:
Ag (0.000, 0.000, 0.000)
Mo (0.500, 0.500, 0.500)
As (0.250, 0.250, 0.250)

offset from the most stable computed form: 185.1 meV/atom
crystal system: cubic

---

(15)
Density functional theory data (GGA-PBE) for an optimized crystal structure of Ag2MoAs.

Cell: 2.773 2.773 9.125 Å, 90.00 90.00 91.94°
Fractional coordinates of all 4 atoms:
Ag (0.000, 0.000, 0.242)
Ag (0.000, 0.000, 0.758)
Mo (0.500, 0.500, 0.000)
As (0.500, 0.500, 0.500)

crystal system: orthorhombic

---

| no. | formation enthalpy at 0 K (eV/atom) | magnetization (μB per formula unit) |
| --- | --- | --- |
| 1 | 0.406 | 0.533 |
| 2 | 0.197 | 0.000 |
| 3 | 0.612 | 1.067 |
| 4 | 0.689 | 0.000 |
| 5 | 0.469 | 0.310 |
| 6 | 0.445 | 0.003 |
| 7 | 0.267 | 0.000 |
| 8 | 0.504 | 0.750 |
| 9 | 0.253 | 0.000 |
| 10 | 2.434 | 0.006 |
| 11 | 1.251 | 0.002 |
| 12 | 0.199 | 0.000 |
| 13 | 1.738 | 1.423 |
| 14 | 0.443 | 0.001 |
| 15 | 0.380 | 0.000 |